## LaSi2Au (PBE)

Data for a geometry-optimized LaSi2Au structure.

Summary:
- M_tot (μB per formula unit) = 0.0
- formation energy from raw total energies (eV per atom) = -0.104
- volume (Å³ per atom) = 20.70

The structure in CIF format:
```
data_LaSi2Au
_space_group_name_H-M_alt 'F m -3 m'
_space_group_IT_number 225
_space_group_name_Hall '-F 4 2 3'
_cell_length_a 6.918
_cell_length_b 6.918
_cell_length_c 6.918
_cell_angle_alpha 90.00
_cell_angle_beta 90.00
_cell_angle_gamma 90.00
loop_
_atom_site_label
_atom_site_type_symbol
_atom_site_fract_x
_atom_site_fract_y
_atom_site_fract_z
La1 La 0.000 0.000 0.000
Si1 Si 0.250 0.250 0.250
Au1 Au 0.000 0.000 0.500
```

## La3SiAu (PBE)

Data for a geometry-optimized La3SiAu structure.

Summary:
- M_tot (μB per formula unit) = 2.1
- formation energy from raw total energies (eV per atom) = -0.080
- volume (Å³ per atom) = 36.01
- E above lowest polymorph (meV per atom) = 0

The structure in CIF format:
```
data_La3SiAu
_space_group_name_H-M_alt 'P m -3 m'
_space_group_IT_number 221
_space_group_name_Hall '-P 4 2 3'
_cell_length_a 5.647
_cell_length_b 5.647
_cell_length_c 5.647
_cell_angle_alpha 90.00
_cell_angle_beta 90.00
_cell_angle_gamma 90.00
loop_
_atom_site_label
_atom_site_type_symbol
_atom_site_fract_x
_atom_site_fract_y
_atom_site_fract_z
La1 La 0.000 0.000 0.500
Si1 Si 0.000 0.000 0.000
Au1 Au 0.500 0.500 0.500
```